VASP calculation (PBE) on Li4GeH after structural relaxation.

a = 5.592 Å, b = 5.592 Å, c = 5.963 Å
α = 90.00°, β = 90.16°, γ = 90.00°
Space group C2/m (No. 12)
Asymmetric unit:
Li (0.249, 0.250, 0.227) x8
Ge (0.000, 0.000, 0.500) x2
H (0.000, 0.500, 0.000) x2

The raw total energy is -2.710 eV per atom.


VASP calculation (PBE) on LiGeH after structural relaxation.

a = 4.346 Å, b = 3.950 Å, c = 5.216 Å
α = 90.00°, β = 111.97°, γ = 90.00°
Space group P2_1/m (No. 11)
Asymmetric unit:
Li (0.066, 0.250, 0.276) x2
Ge (0.437, 0.250, 0.826) x2
H (0.181, 0.750, 0.166) x2

The energy above the most stable polymorph in this dataset comes out at 0 meV/atom.


VASP calculation (PBE) on LiGe2H2 after structural relaxation.

a = 6.475 Å, b = 6.475 Å, c = 2.832 Å
α = 90.00°, β = 90.00°, γ = 90.00°
Space group P4/mbm (No. 127)
Asymmetric unit:
Li (0.000, 0.000, 0.000) x2
Ge (0.144, 0.356, 0.500) x4
H (0.109, 0.609, 0.000) x4

The energy above the most stable polymorph in this dataset comes out at 0 meV/atom.


VASP calculation (PBE) on LiGeH after structural relaxation.

a = 8.504 Å, b = 3.972 Å, c = 5.072 Å
α = 90.00°, β = 101.84°, γ = 90.00°
Space group C2/m (No. 12)
Asymmetric unit:
Li (0.000, 0.000, 0.000) x2
Li (0.000, 0.500, 0.500) x2
Ge (0.215, 0.000, 0.647) x4
H (0.105, 0.500, 0.163) x4

The energy above the most stable polymorph in this dataset comes out at 14 meV/atom.


VASP calculation (PBE) on LiGe2H after structural relaxation.

a = 6.009 Å, b = 6.009 Å, c = 6.009 Å
α = 90.00°, β = 90.00°, γ = 90.00°
Space group Fm-3m (No. 225)
Asymmetric unit:
Li (0.000, 0.000, 0.000) x4
Ge (0.250, 0.250, 0.250) x8
H (0.000, 0.000, 0.500) x4

The energy above the most stable polymorph in this dataset comes out at 92 meV/atom.


VASP calculation (PBE) on Li12Ge3H5 after structural relaxation.

a = 12.957 Å, b = 12.957 Å, c = 12.957 Å
α = 90.00°, β = 90.00°, γ = 90.00°
Space group Ia-3d (No. 230)
Asymmetric unit:
Li (0.041, 0.050, 0.647) x96
Ge (0.000, 0.250, 0.125) x24
H (0.000, 0.000, 0.000) x16
H (0.000, 0.250, 0.375) x24

The raw total energy is -2.858 eV per atom.


VASP calculation (PBE) on LiGeH after structural relaxation.

a = 4.496 Å, b = 3.886 Å, c = 5.311 Å
α = 90.00°, β = 112.71°, γ = 90.00°
Space group P2_1/m (No. 11)
Asymmetric unit:
Li (0.145, 0.250, 0.294) x2
Ge (0.336, 0.250, 0.855) x2
H (0.463, 0.750, 0.340) x2

The energy above the most stable polymorph in this dataset comes out at 34 meV/atom.


VASP calculation (PBE) on LiGeH after structural relaxation.

a = 4.084 Å, b = 8.483 Å, c = 4.961 Å
α = 90.00°, β = 90.00°, γ = 90.00°
Space group Amm2 (No. 38)
Asymmetric unit:
Li (0.000, 0.179, 0.000) x4
Ge (0.000, 0.000, 0.541) x2
Ge (0.500, 0.000, 0.249) x2
H (0.500, 0.141, 0.027) x4

The energy above the most stable polymorph in this dataset comes out at 49 meV/atom.


VASP calculation (PBE) on Li2MgGeH after structural relaxation.

a = 3.965 Å, b = 3.965 Å, c = 4.376 Å
α = 90.00°, β = 90.00°, γ = 90.00°
Space group P4/mmm (No. 123)
Asymmetric unit:
Li (0.000, 0.500, 0.000) x2
Mg (0.000, 0.000, 0.500) x1
Ge (0.500, 0.500, 0.500) x1
H (0.000, 0.000, 0.000) x1

The raw total energy is -2.955 eV per atom.


VASP calculation (PBE) on LiMn2GeH after structural relaxation.

a = 3.745 Å, b = 3.745 Å, c = 3.724 Å
α = 90.00°, β = 90.00°, γ = 90.00°
Space group P4/mmm (No. 123)
Asymmetric unit:
Li (0.000, 0.000, 0.000) x1
Mn (0.000, 0.500, 0.500) x2
Ge (0.500, 0.500, 0.000) x1
H (0.000, 0.000, 0.500) x1

The raw total energy is -5.798 eV per atom.


VASP calculation (PBE) on NaLiGeH2 after structural relaxation.

a = 3.812 Å, b = 3.812 Å, c = 5.818 Å
α = 90.00°, β = 90.00°, γ = 90.00°
Space group P4/mmm (No. 123)
Asymmetric unit:
Na (0.000, 0.000, 0.000) x1
Li (0.500, 0.500, 0.000) x1
Ge (0.000, 0.000, 0.500) x1
H (0.000, 0.500, 0.500) x2

The raw total energy is -2.457 eV per atom.


VASP calculation (PBE) on NaLi2GeH after structural relaxation.

a = 4.072 Å, b = 4.072 Å, c = 4.634 Å
α = 90.00°, β = 90.00°, γ = 90.00°
Space group P4/mmm (No. 123)
Asymmetric unit:
Na (0.000, 0.000, 0.000) x1
Li (0.000, 0.500, 0.500) x2
Ge (0.500, 0.500, 0.000) x1
H (0.000, 0.000, 0.500) x1

The raw total energy is -2.727 eV per atom.


- What is the formula in the fourth record?
  LiGeH


Please write out number 9 again, unchanged.
VASP calculation (PBE) on Li2MgGeH after structural relaxation.

a = 3.965 Å, b = 3.965 Å, c = 4.376 Å
α = 90.00°, β = 90.00°, γ = 90.00°
Space group P4/mmm (No. 123)
Asymmetric unit:
Li (0.000, 0.500, 0.000) x2
Mg (0.000, 0.000, 0.500) x1
Ge (0.500, 0.500, 0.500) x1
H (0.000, 0.000, 0.000) x1

The raw total energy is -2.955 eV per atom.